Record 1
Nb2AgIr2 after structural relaxation, computed with PBE.

Results
Energy of formation from the pure elements in eV per atom: -0.2933
Final energy in eV per atom: -8.4359
Magnetization in μB per formula unit: 0.00
Space-group type: No. 127
Energy above the lowest structure with this stoichiometry in meV/atom: 0

Cell lengths 7.722, 7.722, 2.917 Å; angles 90.00, 90.00, 90.00 degrees
Fractional positions:
Nb: 0.163 0.337 0.000
Nb: 0.337 0.837 0.000
Nb: 0.663 0.163 0.000
Nb: 0.837 0.663 0.000
Ag: 0.000 0.000 0.500
Ag: 0.500 0.500 0.500
Ir: 0.132 0.632 0.500
Ir: 0.368 0.132 0.500
Ir: 0.632 0.868 0.500
Ir: 0.868 0.368 0.500



Record 2
NbAgIr3 after structural relaxation, computed with PBE.

Results
Energy of formation from the pure elements in eV per atom: 2.1932
Final energy in eV per atom: -5.7076
Magnetization in μB per formula unit: 0.00
Space-group type: No. 221
Energy above the lowest structure with this stoichiometry in meV/atom: 700

Cell lengths 4.692, 4.692, 4.692 Å; angles 90.00, 90.00, 90.00 degrees
Fractional positions:
Nb: 0.000 0.000 0.000
Ag: 0.500 0.500 0.500
Ir: 0.000 0.500 0.500
Ir: 0.500 0.000 0.500
Ir: 0.500 0.500 0.000



Record 3
Nb2AgIr2 after structural relaxation, computed with PBE.

Results
Energy of formation from the pure elements in eV per atom: -0.1694
Final energy in eV per atom: -8.3120
Magnetization in μB per formula unit: 0.00
Space-group type: No. 127
Energy above the lowest structure with this stoichiometry in meV/atom: 124

Cell lengths 7.891, 7.891, 2.841 Å; angles 90.00, 90.00, 90.00 degrees
Fractional positions:
Nb: 0.152 0.348 0.000
Nb: 0.348 0.848 0.000
Nb: 0.652 0.152 0.000
Nb: 0.848 0.652 0.000
Ag: 0.000 0.000 0.000
Ag: 0.500 0.500 0.000
Ir: 0.140 0.640 0.500
Ir: 0.360 0.140 0.500
Ir: 0.640 0.860 0.500
Ir: 0.860 0.360 0.500



Record 4
NbAgIr after structural relaxation, computed with PBE.

Results
Energy of formation from the pure elements in eV per atom: 0.0503
Final energy in eV per atom: -7.2103
Magnetization in μB per formula unit: 0.00
Space-group type: No. 69

Cell lengths 6.391, 6.054, 4.633 Å; angles 72.08, 64.32, 43.60 degrees
Fractional positions:
Nb: 0.250 0.250 0.250
Nb: 0.750 0.750 0.750
Ag: 0.176 0.824 0.176
Ag: 0.824 0.176 0.824
Ir: 0.371 0.371 0.629
Ir: 0.629 0.629 0.371



Record 5
Nb2AgIr2 after structural relaxation, computed with PBE.

Results
Energy of formation from the pure elements in eV per atom: 0.1915
Final energy in eV per atom: -7.9510
Magnetization in μB per formula unit: 1.00
Space-group type: No. 139
Energy above the lowest structure with this stoichiometry in meV/atom: 485

Cell lengths 6.910, 6.910, 6.910 Å; angles 147.37, 147.37, 46.81 degrees
Fractional positions:
Nb: 0.113 0.113 0.000
Nb: 0.887 0.887 0.000
Ag: 0.500 0.500 0.000
Ir: 0.250 0.750 0.500
Ir: 0.750 0.250 0.500



Record 6
NbAgIr3 after structural relaxation, computed with PBE.

Results
Energy of formation from the pure elements in eV per atom: 1.4934
Final energy in eV per atom: -6.4074
Magnetization in μB per formula unit: 0.00
Space-group type: No. 221
Energy above the lowest structure with this stoichiometry in meV/atom: 0

Cell lengths 4.776, 4.776, 4.776 Å; angles 90.00, 90.00, 90.00 degrees
Fractional positions:
Nb: 0.000 0.000 0.000
Ag: 0.500 0.500 0.500
Ir: 0.000 0.000 0.500
Ir: 0.000 0.500 0.000
Ir: 0.500 0.000 0.000



Record 7
NbAgIrO6 after structural relaxation, computed with PBE.

Results
ΔE_f (raw) in kJ/mol of atoms: -114.1
Final energy in eV per atom: -6.9079
Magnetization in μB per formula unit: 1.30
Space-group type: No. 163

Cell lengths 5.301, 5.301, 9.631 Å; angles 90.00, 90.00, 120.00 degrees
Fractional positions:
Nb: 0.333 0.667 0.250
Nb: 0.667 0.333 0.750
Ag: 0.000 0.000 0.000
Ag: 0.000 0.000 0.500
Ir: 0.333 0.667 0.750
Ir: 0.667 0.333 0.250
O: 0.008 0.374 0.638
O: 0.008 0.633 0.862
O: 0.367 0.374 0.862
O: 0.367 0.992 0.638
O: 0.374 0.008 0.138
O: 0.374 0.367 0.362
O: 0.626 0.633 0.638
O: 0.626 0.992 0.862
O: 0.633 0.008 0.362
O: 0.633 0.626 0.138
O: 0.992 0.367 0.138
O: 0.992 0.626 0.362



Record 8
NbRe2AgIr after structural relaxation, computed with PBE.

Results
Energy of formation from the pure elements in eV per atom: 2.4600
Final energy in eV per atom: -6.8757
Magnetization in μB per formula unit: 0.85
Space-group type: No. 123

Cell lengths 4.653, 4.653, 4.886 Å; angles 90.00, 90.00, 90.00 degrees
Fractional positions:
Nb: 0.000 0.000 0.000
Re: 0.000 0.500 0.000
Re: 0.500 0.000 0.000
Ag: 0.000 0.000 0.500
Ir: 0.500 0.500 0.500



Record 9
NbAg2IrRu after structural relaxation, computed with PBE.

Results
Energy of formation from the pure elements in eV per atom: 1.9858
Final energy in eV per atom: -4.7960
Magnetization in μB per formula unit: 0.26
Space-group type: No. 123

Cell lengths 4.997, 4.997, 4.480 Å; angles 90.00, 90.00, 90.00 degrees
Fractional positions:
Nb: 0.000 0.000 0.000
Ag: 0.000 0.500 0.000
Ag: 0.500 0.000 0.000
Ir: 0.500 0.500 0.500
Ru: 0.000 0.000 0.500



Record 10
TaNb2AgIr after structural relaxation, computed with PBE.

Results
Energy of formation from the pure elements in eV per atom: 1.0041
Final energy in eV per atom: -7.7367
Magnetization in μB per formula unit: 0.00
Space-group type: No. 123

Cell lengths 4.870, 4.870, 4.850 Å; angles 90.00, 90.00, 90.00 degrees
Fractional positions:
Ta: 0.000 0.000 0.000
Nb: 0.000 0.500 0.500
Nb: 0.500 0.000 0.500
Ag: 0.500 0.500 0.000
Ir: 0.000 0.000 0.500



Record 11
NbTcAgIr2 after structural relaxation, computed with PBE.

Results
Energy of formation from the pure elements in eV per atom: 2.3406
Final energy in eV per atom: -5.8612
Magnetization in μB per formula unit: 2.23
Space-group type: No. 123

Cell lengths 4.751, 4.751, 4.741 Å; angles 90.00, 90.00, 90.00 degrees
Fractional positions:
Nb: 0.000 0.000 0.000
Tc: 0.500 0.500 0.000
Ag: 0.000 0.000 0.500
Ir: 0.000 0.500 0.500
Ir: 0.500 0.000 0.500



Record 12
NbAgIrW2 after structural relaxation, computed with PBE.

Results
Energy of formation from the pure elements in eV per atom: 2.6805
Final energy in eV per atom: -6.8571
Magnetization in μB per formula unit: 0.00
Space-group type: No. 123

Cell lengths 4.713, 4.713, 4.755 Å; angles 90.00, 90.00, 90.00 degrees
Fractional positions:
Nb: 0.000 0.000 0.000
Ag: 0.000 0.000 0.500
Ir: 0.500 0.500 0.000
W: 0.000 0.500 0.500
W: 0.500 0.000 0.500



Repeat the third record exactly.
Nb2AgIr2 after structural relaxation, computed with PBE.

Results
Energy of formation from the pure elements in eV per atom: -0.1694
Final energy in eV per atom: -8.3120
Magnetization in μB per formula unit: 0.00
Space-group type: No. 127
Energy above the lowest structure with this stoichiometry in meV/atom: 124

Cell lengths 7.891, 7.891, 2.841 Å; angles 90.00, 90.00, 90.00 degrees
Fractional positions:
Nb: 0.152 0.348 0.000
Nb: 0.348 0.848 0.000
Nb: 0.652 0.152 0.000
Nb: 0.848 0.652 0.000
Ag: 0.000 0.000 0.000
Ag: 0.500 0.500 0.000
Ir: 0.140 0.640 0.500
Ir: 0.360 0.140 0.500
Ir: 0.640 0.860 0.500
Ir: 0.860 0.360 0.500



Question: The lowest final energy belongs to which entry?
Answer: number 1



Question: Which value of final energy does entry 7 give?
Answer: -6.9079 eV per atom



Question: final energy of number 12 (NbAgIrW2)?
Answer: -6.8571 eV per atom